Record 1
A plane-wave DFT calculation with GGA-PBE was carried out for an optimized crystal structure of RbZnPb2F8.

Unit cell a=4.5824 b=5.6320 c=7.9727 alpha=91.89 beta=95.53 gamma=92.88
Closest atoms and distances in Å follow each position.
Space group P-1 (No. 2)
Inequivalent atoms, fractional coordinates:
Rb: 0.0000 0.0000 0.0000 x1  8 F 2.70-2.97
Zn: 0.0000 0.0000 0.5000 x1  4 F 1.93-2.07
Pb: 0.4384 0.4926 0.7409 x2  7 F 2.39-2.60
F: 0.0609 0.6681 0.2815 x2  2 Pb 2.41-2.53, 1 Zn 2.56
F: 0.1864 0.8494 0.6933 x2  1 Zn 1.93
F: 0.3430 0.2482 0.4844 x2  1 Zn 2.07
F: 0.4971 0.2771 0.9948 x2  2 Pb 2.39-2.42, 1 F 2.51

Output
Formation energy without anion corrections ... -2.274 eV per atom

---

Record 2
A plane-wave DFT calculation with GGA-PBE was carried out for an optimized crystal structure of K2CdHg8.

Unit cell a=5.0740 b=5.0740 c=13.1487 alpha=90.00 beta=90.00 gamma=90.00
Closest atoms and distances in Å follow each position.
Space group P4/mmm (No. 123)
Inequivalent atoms, fractional coordinates:
K: 0.0000 0.0000 0.1883 x2  12 Hg 3.48-3.59
Cd: 0.0000 0.0000 0.5000 x1  8 Hg 3.06
Hg: 0.0000 0.5000 0.0000 x2  4 K 3.54, 8 Hg 3.56-3.59
Hg: 0.0000 0.5000 0.3696 x4  2 Cd 3.06
Hg: 0.5000 0.5000 0.1899 x2  8 Hg 3.47-3.56, 4 K 3.59

Output
ΔE_f ... -0.15 eV per atom

---

Record 3
A plane-wave DFT calculation with GGA-PBE was carried out for an optimized crystal structure of LiNiP2.

Unit cell a=2.6489 b=4.2875 c=4.4686 alpha=90.00 beta=90.00 gamma=90.00
Closest atoms and distances in Å follow each position.
Space group Pmm2 (No. 25)
Inequivalent atoms, fractional coordinates:
Li: 0.0000 0.0000 0.0000 x1  8 P 2.55-2.71, 2 Li 2.65, 4 Ni 2.80
Ni: 0.5000 0.5000 0.7275 x1  4 P 2.21-2.35
P: 0.5000 0.0000 0.5126 x1  2 Ni 2.35, 2 P 2.51, 2 Li 2.55
P: 0.5000 0.5000 0.2223 x1  2 Ni 2.21-2.26

Output
ΔE_f ... -0.22 eV per atom

---

These records have D(E_F) values of 0.29; 0.24; 0.51 states/eV/atom, in the order they appear.